Record 1
First-principles (GGA-PBE) data for an optimized crystal structure of Li5Ag2Pb4, as listed in the Alexandria database.

Computed properties:
DFT formation energy (kJ/mol of formula units): -247

Structure (CIF):
```
data_Li5Ag2Pb4
_cell_length_a 7.795
_cell_length_b 17.866
_cell_length_c 3.321
_cell_angle_alpha 90.00
_cell_angle_beta 90.00
_cell_angle_gamma 90.00
_space_group_name_H-M_alt 'P b a m'
_space_group_IT_number 55
loop_
_space_group_symop_operation_xyz
'x,y,z'
'-x,-y,-z'
'-x,-y,z'
'x,y,-z'
'x+1/2,-y+1/2,-z'
'-x+1/2,y+1/2,z'
'-x+1/2,y+1/2,-z'
'x+1/2,-y+1/2,z'
loop_
_atom_site_label
_atom_site_fract_x
_atom_site_fract_y
_atom_site_fract_z
Li1 0.000 0.000 0.000
Li2 0.140 0.423 0.000
Li3 0.245 0.210 0.000
Ag1 0.043 0.305 0.500
Pb1 0.082 0.850 0.500
Pb2 0.186 0.561 0.500
```



Record 2
First-principles (GGA-PBE) data for an optimized crystal structure of NbVB2, as listed in the Alexandria database.

Computed properties:
DFT formation energy (kJ/mol of formula units): -194

Structure (CIF):
```
data_NbVB2
_cell_length_a 5.558
_cell_length_b 3.156
_cell_length_c 9.871
_cell_angle_alpha 90.00
_cell_angle_beta 90.00
_cell_angle_gamma 90.00
_space_group_name_H-M_alt 'P n m a'
_space_group_IT_number 62
loop_
_space_group_symop_operation_xyz
'x,y,z'
'-x,-y,-z'
'-x+1/2,-y,z+1/2'
'x+1/2,y,-z+1/2'
'x+1/2,-y+1/2,-z+1/2'
'-x+1/2,y+1/2,z+1/2'
'-x,y+1/2,-z'
'x,-y+1/2,z'
loop_
_atom_site_label
_atom_site_fract_x
_atom_site_fract_y
_atom_site_fract_z
Nb1 0.119 0.250 0.154
V1 0.138 0.250 0.447
B1 0.035 0.250 0.675
B2 0.214 0.250 0.819
```



Record 3
First-principles (GGA-PBE) data for an optimized crystal structure of ZnFe2AgC, as listed in the Alexandria database.

Computed properties:
DFT formation energy (kJ/mol of formula units): 1080

Structure (CIF):
```
data_ZnFe2AgC
_cell_length_a 4.468
_cell_length_b 4.468
_cell_length_c 4.675
_cell_angle_alpha 90.00
_cell_angle_beta 90.00
_cell_angle_gamma 90.00
_space_group_name_H-M_alt 'P 4/m m m'
_space_group_IT_number 123
_space_group_name_Hall '-P 4 2'
loop_
_atom_site_label
_atom_site_fract_x
_atom_site_fract_y
_atom_site_fract_z
Zn1 0.000 0.000 0.000
Fe1 0.000 0.500 0.000
Ag1 0.000 0.000 0.500
C1 0.500 0.500 0.500
```



Record 4
First-principles (GGA-PBE) data for an optimized crystal structure of CsSb2W, as listed in the Alexandria database.

Computed properties:
Formation energy from raw total energies (eV/atom): 1.062

Structure (CIF):
```
data_CsSb2W
_cell_length_a 7.548
_cell_length_b 7.548
_cell_length_c 7.548
_cell_angle_alpha 90.00
_cell_angle_beta 90.00
_cell_angle_gamma 90.00
_space_group_name_H-M_alt 'F m -3 m'
_space_group_IT_number 225
_space_group_name_Hall '-F 4 2 3'
loop_
_atom_site_label
_atom_site_fract_x
_atom_site_fract_y
_atom_site_fract_z
Cs1 0.000 0.000 0.000
Sb1 0.250 0.250 0.250
W1 0.000 0.000 0.500
```



Record 5
First-principles (GGA-PBE) data for an optimized crystal structure of Ba2Si3AgPd12, as listed in the Alexandria database.

Computed properties:
Formation energy from raw total energies (eV/atom): -0.230

Structure (CIF):
```
data_Ba2Si3AgPd12
_cell_length_a 8.5507
_cell_length_b 8.5507
_cell_length_c 18.1253
_cell_angle_alpha 90.00
_cell_angle_beta 90.00
_cell_angle_gamma 120.00
_space_group_name_H-M_alt 'R -3 m'
_space_group_IT_number 166
_space_group_name_Hall '-R 3 2"'
loop_
_atom_site_label
_atom_site_fract_x
_atom_site_fract_y
_atom_site_fract_z
Ba1 0.0000 0.0000 0.1094
Si1 0.0000 0.5000 0.0000
Ag1 0.0000 0.0000 0.5000
Pd1 0.0046 0.5023 0.8745
Pd2 0.0490 0.5245 0.3609
```



Record 6
First-principles (GGA-PBE) data for an optimized crystal structure of TcSb2As, as listed in the Alexandria database.

Computed properties:
Formation energy from raw total energies (eV/atom): 0.486

Structure (CIF):
```
data_TcSb2As
_cell_length_a 3.472
_cell_length_b 5.134
_cell_length_c 9.641
_cell_angle_alpha 90.00
_cell_angle_beta 90.00
_cell_angle_gamma 90.00
_space_group_name_H-M_alt 'C m m m'
_space_group_IT_number 65
_space_group_name_Hall '-C 2 2'
loop_
_atom_site_label
_atom_site_fract_x
_atom_site_fract_y
_atom_site_fract_z
Tc1 0.000 0.000 0.000
Sb1 0.000 0.500 0.217
As1 0.000 0.000 0.500
```



Record 7
First-principles (GGA-PBE) data for an optimized crystal structure of SmMgAl2Pd4, as listed in the Alexandria database.

Computed properties:
DFT formation energy (kJ/mol of formula units): -632

Structure (CIF):
```
data_SmMgAl2Pd4
_cell_length_a 4.3464
_cell_length_b 4.3464
_cell_length_c 25.8518
_cell_angle_alpha 90.00
_cell_angle_beta 90.00
_cell_angle_gamma 120.00
_space_group_name_H-M_alt 'R -3 m'
_space_group_IT_number 166
_space_group_name_Hall '-R 3 2"'
loop_
_atom_site_label
_atom_site_fract_x
_atom_site_fract_y
_atom_site_fract_z
Sm1 0.0000 0.0000 0.0000
Mg1 0.0000 0.0000 0.5000
Al1 0.0000 0.0000 0.2383
Pd1 0.0000 0.0000 0.1297
Pd2 0.0000 0.0000 0.4001
```



Record 8
First-principles (GGA-PBE) data for an optimized crystal structure of Nd2TeH2Se, as listed in the Alexandria database.

Structure (CIF):
```
data_Nd2TeH2Se
_cell_length_a 4.0723
_cell_length_b 4.0723
_cell_length_c 8.3639
_cell_angle_alpha 90.00
_cell_angle_beta 90.00
_cell_angle_gamma 120.00
_space_group_name_H-M_alt 'P -3 m 1'
_space_group_IT_number 164
_space_group_name_Hall '-P 3 2"'
loop_
_atom_site_label
_atom_site_fract_x
_atom_site_fract_y
_atom_site_fract_z
Nd1 0.3333 0.6667 0.2356
Te1 0.0000 0.0000 0.5000
H1 0.3333 0.6667 0.7578
Se1 0.0000 0.0000 0.0000
```



Record 9
First-principles (GGA-PBE) data for an optimized crystal structure of HfAg3Bi, as listed in the Alexandria database.

Computed properties:
DFT formation energy (kJ/mol of formula units): 563

Structure (CIF):
```
data_HfAg3Bi
_cell_length_a 5.260
_cell_length_b 5.260
_cell_length_c 5.260
_cell_angle_alpha 90.00
_cell_angle_beta 90.00
_cell_angle_gamma 90.00
_space_group_name_H-M_alt 'P m -3 m'
_space_group_IT_number 221
_space_group_name_Hall '-P 4 2 3'
loop_
_atom_site_label
_atom_site_fract_x
_atom_site_fract_y
_atom_site_fract_z
Hf1 0.000 0.000 0.000
Ag1 0.000 0.500 0.500
Bi1 0.500 0.500 0.500
```



Record 10
First-principles (GGA-PBE) data for an optimized crystal structure of PPdCl3, as listed in the Alexandria database.

Computed properties:
Formation energy from raw total energies (eV/atom): 0.256

Structure (CIF):
```
data_PPdCl3
_cell_length_a 4.811
_cell_length_b 4.811
_cell_length_c 4.811
_cell_angle_alpha 90.00
_cell_angle_beta 90.00
_cell_angle_gamma 90.00
_space_group_name_H-M_alt 'P m -3 m'
_space_group_IT_number 221
_space_group_name_Hall '-P 4 2 3'
loop_
_atom_site_label
_atom_site_fract_x
_atom_site_fract_y
_atom_site_fract_z
P1 0.000 0.000 0.000
Pd1 0.500 0.500 0.500
Cl1 0.000 0.000 0.500
```



Record 11
First-principles (GGA-PBE) data for an optimized crystal structure of KNiSb, as listed in the Alexandria database.

Computed properties:
Formation energy from raw total energies (eV/atom): -0.208

Structure (CIF):
```
data_KNiSb
_cell_length_a 8.319
_cell_length_b 4.371
_cell_length_c 10.435
_cell_angle_alpha 90.00
_cell_angle_beta 90.00
_cell_angle_gamma 90.00
_space_group_name_H-M_alt 'P n m a'
_space_group_IT_number 62
loop_
_space_group_symop_operation_xyz
'x,y,z'
'-x,-y,-z'
'-x+1/2,-y,z+1/2'
'x+1/2,y,-z+1/2'
'x+1/2,-y+1/2,-z+1/2'
'-x+1/2,y+1/2,z+1/2'
'-x,y+1/2,-z'
'x,-y+1/2,z'
loop_
_atom_site_label
_atom_site_fract_x
_atom_site_fract_y
_atom_site_fract_z
K1 0.014 0.250 0.209
Ni1 0.088 0.750 0.488
Sb1 0.206 0.250 0.541
```



Record 12
First-principles (GGA-PBE) data for an optimized crystal structure of InNiAs2, as listed in the Alexandria database.

Computed properties:
DFT formation energy (kJ/mol of formula units): 121

Structure (CIF):
```
data_InNiAs2
_cell_length_a 3.980
_cell_length_b 3.980
_cell_length_c 4.654
_cell_angle_alpha 90.00
_cell_angle_beta 90.00
_cell_angle_gamma 90.00
_space_group_name_H-M_alt 'P 4/m m m'
_space_group_IT_number 123
_space_group_name_Hall '-P 4 2'
loop_
_atom_site_label
_atom_site_fract_x
_atom_site_fract_y
_atom_site_fract_z
In1 0.000 0.000 0.000
Ni1 0.500 0.500 0.000
As1 0.000 0.500 0.500
```



Let's list raw total energy in order: -65.34; -138.23; -19.08; -71.21; -268.25; -42.63; -123.35; -30.68; -16.56; -14.86; -46.50; -16.57 eV for the cell shown.